Density functional theory data (PBE-GGA) for a geometry-optimized Ce4TlBi2 structure.

a b c (Å): 6.3694 6.6865 10.3811
angles (deg): 90.00 107.13 90.00
Positions (direct):
Ce1 0.7896 0.2500 0.4785
Ce2 0.5659 0.5085 0.2766
Ce3 0.5659 0.9915 0.2766
Ce4 0.4341 0.0085 0.7234
Ce5 0.9275 0.2500 0.1161
Ce6 0.4341 0.4915 0.7234
Ce7 0.2104 0.7500 0.5215
Ce8 0.0725 0.7500 0.8839
Bi1 0.6350 0.7500 0.0040
Bi2 0.7417 0.7500 0.5730
Bi3 0.3650 0.2500 0.9960
Bi4 0.2583 0.2500 0.4270
Tl1 0.9094 0.2500 0.7928
Tl2 0.0906 0.7500 0.2072

Values from the calculation:
Its symmetry is No. 11. The calculation puts the calculated formation energy at -2.564 eV per formula unit. Its spin magnetization is 6.93 μB/cell. The total energy comes out at -72.86 eV for the cell shown.